An optimized crystal structure of CaIr2Ru. Source: Alexandria, functional GGA-PBE.

```
CaIr2Ru
1.0
2.8160 0.0000 0.0000
0.0000 4.4383 0.0000
-1.3970 0.0000 5.3790
Ca Ir Ru
1 2 1
Direct
0.0000 0.0000 0.0000
0.6117 0.5000 0.2250
0.7458 0.0000 0.4951
0.3221 0.5000 0.6473
```

Output
N(E_F): 3.62 states/eV/f.u.
magnetization: 0.0000 μB per atom
theoretical density: 13.0 g/cm3
distance to the lowest polymorph of the same formula: 0.42 eV per formula unit
symmetry: No. 6
formation enthalpy at 0 K: 118 meV/atom



An optimized crystal structure of NaSr2Sb2. Source: Alexandria, functional GGA-PBE.

```
NaSr2Sb2
1.0
-4.4433 6.3904 3.3161
4.4433 -6.3904 3.3161
4.4433 6.3904 -3.3161
Na Sr Sb
2 4 4
Direct
0.2500 0.2500 0.0000
0.7500 0.7500 0.0000
0.1387 0.6473 0.7859
0.3613 0.1473 0.5086
0.6387 0.8527 0.4914
0.8613 0.3527 0.2141
0.1165 0.2654 0.3819
0.3835 0.7654 0.1489
0.6165 0.2346 0.8511
0.8835 0.7346 0.6181
```

Output
N(E_F): 4.25 states/eV/f.u.
magnetization: 0.0000 μB per atom
theoretical density: 3.9 g/cm3
distance to the lowest polymorph of the same formula: 0.20 eV per formula unit
symmetry: No. 72
ΔE_f (raw): -70.7 kJ per mole of atoms



An optimized crystal structure of RbCo3Ni. Source: Alexandria, functional GGA-PBE.

```
RbCo3Ni
1.0
4.5794 0.0000 0.0000
0.0000 4.5794 0.0000
0.0000 0.0000 4.5794
Rb Co Ni
1 3 1
Direct
0.0000 0.0000 0.0000
0.0000 0.5000 0.5000
0.5000 0.0000 0.5000
0.5000 0.5000 0.0000
0.5000 0.5000 0.5000
```

Output
N(E_F): 7.16 states/eV/f.u.
magnetization: 1.2671 μB per atom
theoretical density: 5.5 g/cm3
distance to the lowest polymorph of the same formula: 0.00 eV per formula unit
symmetry: No. 221
formation enthalpy at 0 K: 1204 meV/atom



An optimized crystal structure of CsHfNiSe3. Source: Alexandria, functional GGA-PBE.

```
CsHfNiSe3
1.0
9.5207 0.0000 0.0000
0.0000 3.8617 0.0000
-4.6071 0.0000 8.9733
Cs Hf Ni Se
2 2 2 6
Direct
0.2317 0.2500 0.2534
0.7683 0.7500 0.7466
0.3082 0.7500 0.8350
0.6918 0.2500 0.1650
0.0863 0.2500 0.5960
0.9137 0.7500 0.4040
0.1247 0.2500 0.8533
0.2001 0.7500 0.5427
0.4794 0.7500 0.1442
0.5206 0.2500 0.8558
0.7999 0.2500 0.4573
0.8753 0.7500 0.1467
```

Output
N(E_F): 3.90 states/eV/f.u.
magnetization: 0.0840 μB per atom
theoretical density: 6.1 g/cm3
symmetry: No. 11
ΔE_f (raw): -105.5 kJ per mole of atoms